This record from Alexandria describes an optimized crystal structure of Cs2HgIO6. The functional is GGA-PBE.

abc: 6.2843 6.2843 6.2843
angles: 60.00 60.00 60.00
With the nearest neighbours (Å) after each atom.
Positions (direct):
I (0.0000, 0.0000, 0.0000)  6 O 1.92
Cs (0.7500, 0.7500, 0.7500)  12 O 3.16
Cs (0.2500, 0.2500, 0.2500)  12 O 3.16
O (0.2164, 0.2164, 0.7836)  1 I 1.92
O (0.7836, 0.2164, 0.2164)  1 I 1.92
O (0.2164, 0.7836, 0.7836)  1 I 1.92
O (0.7836, 0.7836, 0.2164)  1 I 1.92
O (0.2164, 0.7836, 0.2164)  1 I 1.92
O (0.7836, 0.2164, 0.7836)  1 I 1.92
Hg (0.5000, 0.5000, 0.5000)  6 O 2.52

Calculated values
DOS at the Fermi energy in states/eV/atom: 1.034
Total energy in eV/atom: -3.9095

This record from Alexandria describes an optimized crystal structure of SrTa2Cd. The functional is GGA-PBE.

abc: 10.2907 10.2907 10.2907
angles: 18.65 18.65 18.65
With the nearest neighbours (Å) after each atom.
Positions (direct):
Ta (0.2555, 0.2555, 0.2555)  3 Ta 2.72
Ta (0.9853, 0.9853, 0.9853)  3 Ta 2.72
Cd (0.5108, 0.5108, 0.5108)  3 Ta 3.05, 6 Cd 3.34
Sr (0.7485, 0.7485, 0.7485)  6 Sr 3.34, 3 Cd 3.48, 3 Ta 3.50

Calculated values
Energy relative to the elements in eV/atom: 0.576
DOS at the Fermi energy in states/eV/atom: 1.414
Total energy in eV/atom: -5.9996

This record from Alexandria describes an optimized crystal structure of Ca3MgCu2. The functional is GGA-PBE.

abc: 5.8964 5.8964 5.8964
angles: 75.71 75.71 75.71
With the nearest neighbours (Å) after each atom.
Positions (direct):
Cu (0.9001, 0.9001, 0.9001)  1 Cu 2.49
Cu (0.0999, 0.0999, 0.0999)  1 Cu 2.49
Ca (0.5000, 0.0000, 0.5000)  2 Mg 2.95
Ca (0.0000, 0.5000, 0.5000)  2 Mg 2.95
Ca (0.5000, 0.5000, 0.0000)  2 Mg 2.95
Mg (0.5000, 0.5000, 0.5000)  6 Ca 2.95

Calculated values
Energy relative to the elements in eV/atom: 0.489
DOS at the Fermi energy in states/eV/atom: 0.555
Distance to the lowest polymorph of the same formula in meV per atom: 578.9
Total energy in eV/atom: -2.1430

This record from Alexandria describes an optimized crystal structure of Sr2YSc. The functional is GGA-PBE.

abc: 3.9617 3.9608 10.7284
angles: 68.40 90.00 90.00
With the nearest neighbours (Å) after each atom.
Positions (direct):
Sr (0.5000, 0.2212, 0.2781)  4 Y 3.88, 8 Sr 3.96-4.28
Sr (0.0000, 0.0469, 0.9537)  4 Sc 3.64, 4 Sr 3.96, 1 Y 4.05
Y (0.0000, 0.4519, 0.5479)  4 Sc 3.29
Sc (0.5000, 0.7800, 0.7204)  4 Y 3.29, 4 Sr 3.64

Calculated values
Energy relative to the elements in eV/atom: 0.151
DOS at the Fermi energy in states/eV/atom: 1.506
Distance to the lowest polymorph of the same formula in meV per atom: 0.0
Total energy in eV/atom: -3.8885

This record from Alexandria describes an optimized crystal structure of Co2MoAuC. The functional is GGA-PBE.

abc: 3.8723 4.2819 3.8723
angles: 90.00 90.00 90.00
With the nearest neighbours (Å) after each atom.
Positions (direct):
C (0.0000, 0.0000, 0.0000)  4 Co 1.94, 2 Au 2.14
Co (0.5000, 0.0000, 0.0000)  2 C 1.94
Co (0.0000, 0.0000, 0.5000)  2 C 1.94
Au (0.0000, 0.5000, 0.0000)  2 C 2.14
Mo (0.5000, 0.5000, 0.5000)  4 Au 2.74, 8 Co 2.89

Calculated values
Energy relative to the elements in eV/atom: 0.782
DOS at the Fermi energy in states/eV/atom: 1.286
Total energy in eV/atom: -6.7273

This record from Alexandria describes an optimized crystal structure of TbHoMgZn. The functional is GGA-PBE.

abc: 5.1900 5.1900 5.1900
angles: 60.00 60.00 60.00
With the nearest neighbours (Å) after each atom.
Positions (direct):
Tb (0.2500, 0.2500, 0.2500)  4 Zn 3.18, 4 Mg 3.18
Mg (0.5000, 0.5000, 0.5000)  4 Tb 3.18, 4 Ho 3.18
Ho (0.7500, 0.7500, 0.7500)  4 Mg 3.18, 4 Zn 3.18
Zn (0.0000, 0.0000, 0.0000)  4 Ho 3.18, 4 Tb 3.18

Calculated values
Energy relative to the elements in eV/atom: -0.177
DOS at the Fermi energy in states/eV/atom: 1.084
Distance to the lowest polymorph of the same formula in meV per atom: 31.7
Total energy in eV/atom: -3.1958

This record from Alexandria describes an optimized crystal structure of GdScSe. The functional is GGA-PBE.

abc: 3.5664 3.5664 6.2046
angles: 106.70 106.70 90.00
With the nearest neighbours (Å) after each atom.
Positions (direct):
Gd (0.0042, 0.0042, 0.0083)  5 Se 3.29-3.56, 5 Sc 3.38-3.42, 4 Gd 3.57
Sc (0.3056, 0.3056, 0.6112)  4 Se 2.84
Se (0.6902, 0.6902, 0.3805)  4 Sc 2.84

Calculated values
DOS at the Fermi energy in states/eV/atom: 1.207
Distance to the lowest polymorph of the same formula in meV per atom: 135.1
Total energy in eV/atom: -8.8837